P) Computed, not measured: crystalline GaTc2Cl at its relaxed geometry at the PBE-GGA level of DFT.

Cell: 4.357 4.357 4.357 Å, 60.00 60.00 60.00°
Atoms (fractional coordinates):
Tc (0.250, 0.250, 0.250)
Tc (0.750, 0.750, 0.750)
Ga (0.500, 0.500, 0.500)
Cl (0.000, 0.000, 0.000)

For the volume, the calculation gives 14.6 Å³/atom. For the total magnetic moment, the calculation gives 0.000 μB per formula unit. The space group is No. 225.



Q) Computed, not measured: crystalline GaTc2Cl at its relaxed geometry at the PBE-GGA level of DFT.

Cell: 5.714 5.714 6.275 Å, 62.91 62.91 90.00°
Atoms (fractional coordinates):
Tc (0.589, 0.125, 0.250)
Tc (0.161, 0.625, 0.250)
Tc (0.375, 0.411, 0.750)
Tc (0.875, 0.839, 0.750)
Ga (0.000, 0.000, 0.000)
Ga (0.750, 0.250, 0.500)
Cl (0.500, 0.500, 0.000)
Cl (0.250, 0.750, 0.500)

For the volume, the calculation gives 19.6 Å³/atom. For the total magnetic moment, the calculation gives 0.000 μB per formula unit. The space group is No. 122.



Most stable = P)



P) Computed, not measured: crystalline GaTcCl2 at its relaxed geometry at the PBE-GGA level of DFT.

Cell: 9.532 9.532 9.532 Å, 20.17 20.17 20.17°
Last column: magnetic moment on the atom in μB.
Atoms (fractional coordinates):
Tc (0.500, 0.500, 0.500)  0.89
Ga (0.000, 0.000, 0.000)  0.01
Cl (0.887, 0.887, 0.887)  0.00
Cl (0.113, 0.113, 0.113)  0.00

For the volume, the calculation gives 22.5 Å³/atom. For the total magnetic moment, the calculation gives 0.966 μB per formula unit. The space group is No. 166.



Q) Computed, not measured: crystalline GaTcCl2 at its relaxed geometry at the PBE-GGA level of DFT.

Cell: 4.890 4.890 4.890 Å, 60.00 60.00 60.00°
Last column: magnetic moment on the atom in μB.
Atoms (fractional coordinates):
Tc (0.500, 0.500, 0.500)  3.38
Ga (0.000, 0.000, 0.000)  0.02
Cl (0.250, 0.250, 0.250)  0.08
Cl (0.750, 0.750, 0.750)  0.08

For the volume, the calculation gives 20.7 Å³/atom. For the total magnetic moment, the calculation gives 4.000 μB per formula unit. The space group is No. 225.



Most stable = P)



P) Computed, not measured: crystalline Ga2TcCl at its relaxed geometry at the PBE-GGA level of DFT.

Cell: 6.155 6.155 7.003 Å, 63.93 63.93 90.00°
Last column: magnetic moment on the atom in μB.
Atoms (fractional coordinates):
Tc (0.000, 0.000, 0.000)  0.54
Tc (0.750, 0.250, 0.500)  0.55
Ga (0.664, 0.125, 0.250)  -0.01
Ga (0.086, 0.625, 0.250)  -0.02
Ga (0.375, 0.336, 0.750)  -0.02
Ga (0.875, 0.914, 0.750)  -0.01
Cl (0.500, 0.500, 0.000)  0.00
Cl (0.250, 0.750, 0.500)  0.00

For the volume, the calculation gives 26.0 Å³/atom. For the total magnetic moment, the calculation gives 0.569 μB per formula unit. The space group is No. 122.



Q) Computed, not measured: crystalline Ga2TcCl at its relaxed geometry at the PBE-GGA level of DFT.

Cell: 4.734 4.734 4.734 Å, 60.00 60.00 60.00°
Last column: magnetic moment on the atom in μB.
Atoms (fractional coordinates):
Tc (0.500, 0.500, 0.500)  1.99
Ga (0.250, 0.250, 0.250)  -0.02
Ga (0.750, 0.750, 0.750)  -0.02
Cl (0.000, 0.000, 0.000)  0.12

For the volume, the calculation gives 18.7 Å³/atom. For the total magnetic moment, the calculation gives 2.339 μB per formula unit. The space group is No. 225.



Most stable = P)



P) Computed, not measured: crystalline GaTe2Cl at its relaxed geometry at the PBE-GGA level of DFT.

Cell: 5.125 5.125 5.125 Å, 60.00 60.00 60.00°
Atoms (fractional coordinates):
Te (0.250, 0.250, 0.250)
Te (0.750, 0.750, 0.750)
Ga (0.500, 0.500, 0.500)
Cl (0.000, 0.000, 0.000)

For the volume, the calculation gives 23.8 Å³/atom. For the total magnetic moment, the calculation gives 0.000 μB per formula unit. The space group is No. 225.



Q) Computed, not measured: crystalline GaTe2Cl at its relaxed geometry at the PBE-GGA level of DFT.

Cell: 10.629 10.629 10.629 Å, 18.04 18.04 18.04°
Atoms (fractional coordinates):
Te (0.914, 0.914, 0.914)
Te (0.086, 0.086, 0.086)
Ga (0.000, 0.000, 0.000)
Cl (0.500, 0.500, 0.500)

For the volume, the calculation gives 25.1 Å³/atom. For the total magnetic moment, the calculation gives 0.000 μB per formula unit. The space group is No. 166.



R) Computed, not measured: crystalline GaTe2Cl at its relaxed geometry at the PBE-GGA level of DFT.

Cell: 8.699 8.699 8.699 Å, 28.05 28.05 28.05°
Atoms (fractional coordinates):
Te (0.893, 0.893, 0.893)
Te (0.107, 0.107, 0.107)
Ga (0.500, 0.500, 0.500)
Cl (0.000, 0.000, 0.000)

For the volume, the calculation gives 32.1 Å³/atom. For the total magnetic moment, the calculation gives 0.000 μB per formula unit. The space group is No. 166.



Most stable = R)



P) Computed, not measured: crystalline GaTe2Cl at its relaxed geometry at the PBE-GGA level of DFT.

Cell: 7.279 7.279 7.271 Å, 59.96 59.96 90.00°
Atoms (fractional coordinates):
Te (0.672, 0.125, 0.250)
Te (0.078, 0.625, 0.250)
Te (0.375, 0.328, 0.750)
Te (0.875, 0.922, 0.750)
Ga (0.000, 0.000, 0.000)
Ga (0.750, 0.250, 0.500)
Cl (0.500, 0.500, 0.000)
Cl (0.250, 0.750, 0.500)

For the volume, the calculation gives 34.0 Å³/atom. For the total magnetic moment, the calculation gives 0.000 μB per formula unit. The space group is No. 122.



Q) Computed, not measured: crystalline GaTe2Cl at its relaxed geometry at the PBE-GGA level of DFT.

Cell: 5.717 8.220 14.775 Å, 109.29 90.00 90.00°
Atoms (fractional coordinates):
Ga (0.044, 0.379, 0.574)
Ga (0.956, 0.621, 0.426)
Ga (0.544, 0.121, 0.926)
Ga (0.456, 0.879, 0.074)
Te (0.822, 0.876, 0.953)
Te (0.178, 0.124, 0.047)
Te (0.322, 0.624, 0.547)
Te (0.678, 0.376, 0.453)
Te (0.668, 0.424, 0.041)
Te (0.332, 0.576, 0.959)
Te (0.168, 0.076, 0.459)
Te (0.832, 0.924, 0.541)
Cl (0.067, 0.575, 0.279)
Cl (0.933, 0.425, 0.721)
Cl (0.567, 0.925, 0.221)
Cl (0.433, 0.075, 0.779)

For the volume, the calculation gives 41.0 Å³/atom. For the total magnetic moment, the calculation gives 0.000 μB per formula unit. The space group is No. 14.



Most stable = Q)



P) Computed, not measured: crystalline GaTe3Cl at its relaxed geometry at the PBE-GGA level of DFT.

Cell: 5.464 5.464 5.464 Å, 90.00 90.00 90.00°
Atoms (fractional coordinates):
Te (0.000, 0.500, 0.000)
Te (0.000, 0.000, 0.500)
Te (0.500, 0.000, 0.000)
Ga (0.500, 0.500, 0.500)
Cl (0.000, 0.000, 0.000)

For the volume, the calculation gives 32.6 Å³/atom. For the total magnetic moment, the calculation gives 0.000 μB per formula unit. The space group is No. 221.



Q) Computed, not measured: crystalline GaTe3Cl at its relaxed geometry at the PBE-GGA level of DFT.

Cell: 8.181 6.678 6.678 Å, 120.00 90.00 90.00°
Atoms (fractional coordinates):
Ga (0.000, 0.000, 0.000)
Ga (0.500, 0.000, 0.000)
Te (0.750, 0.624, 0.812)
Te (0.250, 0.812, 0.624)
Te (0.250, 0.376, 0.188)
Te (0.750, 0.188, 0.376)
Te (0.250, 0.812, 0.188)
Te (0.750, 0.188, 0.812)
Cl (0.750, 0.667, 0.333)
Cl (0.250, 0.333, 0.667)

For the volume, the calculation gives 31.6 Å³/atom. For the total magnetic moment, the calculation gives 0.000 μB per formula unit. The space group is No. 194.



Most stable = Q)



P) Computed, not measured: crystalline Ga3TeCl at its relaxed geometry at the PBE-GGA level of DFT.

Cell: 5.405 5.405 5.405 Å, 90.00 90.00 90.00°
Atoms (fractional coordinates):
Te (0.500, 0.500, 0.500)
Ga (0.000, 0.500, 0.000)
Ga (0.000, 0.000, 0.500)
Ga (0.500, 0.000, 0.000)
Cl (0.000, 0.000, 0.000)

For the volume, the calculation gives 31.6 Å³/atom. For the total magnetic moment, the calculation gives 0.000 μB per formula unit. The space group is No. 221.



Q) Computed, not measured: crystalline Ga3TeCl at its relaxed geometry at the PBE-GGA level of DFT.

Cell: 6.049 6.049 6.049 Å, 90.00 90.00 90.00°
Atoms (fractional coordinates):
Te (0.000, 0.000, 0.000)
Ga (0.000, 0.500, 0.000)
Ga (0.000, 0.000, 0.500)
Ga (0.500, 0.000, 0.000)
Cl (0.500, 0.500, 0.500)

For the volume, the calculation gives 44.3 Å³/atom. For the total magnetic moment, the calculation gives 0.000 μB per formula unit. The space group is No. 221.



Most stable = P)



P) Computed, not measured: crystalline Ti2GaCl at its relaxed geometry at the PBE-GGA level of DFT.

Cell: 4.549 4.549 4.549 Å, 60.00 60.00 60.00°
Last column: magnetic moment on the atom in μB.
Atoms (fractional coordinates):
Cl (0.000, 0.000, 0.000)  0.00
Ga (0.500, 0.500, 0.500)  0.03
Ti (0.250, 0.250, 0.250)  0.60
Ti (0.750, 0.750, 0.750)  0.60

For the volume, the calculation gives 16.6 Å³/atom. For the total magnetic moment, the calculation gives 1.562 μB per formula unit. The space group is No. 225.



Q) Computed, not measured: crystalline Ti2GaCl at its relaxed geometry at the PBE-GGA level of DFT.

Cell: 5.173 5.173 7.502 Å, 69.83 69.83 90.00°
Last column: magnetic moment on the atom in μB.
Atoms (fractional coordinates):
Cl (0.500, 0.500, 0.000)  -0.03
Cl (0.250, 0.750, 0.500)  -0.03
Ga (0.000, 0.000, 0.000)  0.01
Ga (0.750, 0.250, 0.500)  0.00
Ti (0.601, 0.125, 0.250)  0.60
Ti (0.149, 0.625, 0.250)  0.61
Ti (0.375, 0.399, 0.750)  0.65
Ti (0.875, 0.851, 0.750)  0.67

For the volume, the calculation gives 21.9 Å³/atom. For the total magnetic moment, the calculation gives 1.547 μB per formula unit. The space group is No. 122.



Most stable = P)



P) Computed, not measured: crystalline TiGaCl3 at its relaxed geometry at the PBE-GGA level of DFT.

Cell: 5.073 5.073 5.073 Å, 90.00 90.00 90.00°
Last column: magnetic moment on the atom in μB.
Atoms (fractional coordinates):
Cl (0.000, 0.500, 0.000)  -0.01
Cl (0.000, 0.000, 0.500)  -0.01
Cl (0.500, 0.000, 0.000)  -0.01
Ga (0.000, 0.000, 0.000)  0.01
Ti (0.500, 0.500, 0.500)  2.19

For the volume, the calculation gives 26.1 Å³/atom. For the total magnetic moment, the calculation gives 2.703 μB per formula unit. The space group is No. 221.



Q) Computed, not measured: crystalline TiGaCl3 at its relaxed geometry at the PBE-GGA level of DFT.

Cell: 4.979 4.979 4.979 Å, 90.00 90.00 90.00°
Last column: magnetic moment on the atom in μB.
Atoms (fractional coordinates):
Cl (0.000, 0.500, 0.000)  -0.01
Cl (0.000, 0.000, 0.500)  -0.02
Cl (0.500, 0.000, 0.000)  0.01
Ga (0.500, 0.500, 0.500)  0.02
Ti (0.000, 0.000, 0.000)  1.59

For the volume, the calculation gives 24.7 Å³/atom. For the total magnetic moment, the calculation gives 2.000 μB per formula unit. The space group is No. 221.



Most stable = Q)



P) Computed, not measured: crystalline TlGaCl2 at its relaxed geometry at the PBE-GGA level of DFT.

Cell: 7.979 8.493 8.021 Å, 90.00 90.00 90.00°
Atoms (fractional coordinates):
Tl (0.063, 0.110, 0.135)
Tl (0.563, 0.890, 0.865)
Tl (0.563, 0.390, 0.635)
Tl (0.063, 0.610, 0.365)
Ga (0.063, 0.572, 0.901)
Ga (0.563, 0.928, 0.401)
Ga (0.563, 0.428, 0.099)
Ga (0.063, 0.072, 0.599)
Cl (0.285, 0.667, 0.700)
Cl (0.785, 0.333, 0.300)
Cl (0.785, 0.833, 0.200)
Cl (0.285, 0.167, 0.800)
Cl (0.341, 0.833, 0.200)
Cl (0.341, 0.333, 0.300)
Cl (0.841, 0.667, 0.700)
Cl (0.841, 0.167, 0.800)

For the volume, the calculation gives 34.0 Å³/atom. For the total magnetic moment, the calculation gives 0.000 μB per formula unit. The space group is No. 62.



Q) Computed, not measured: crystalline TlGaCl2 at its relaxed geometry at the PBE-GGA level of DFT.

Cell: 9.397 9.397 9.397 Å, 26.31 26.31 26.31°
Atoms (fractional coordinates):
Tl (0.000, 0.000, 0.000)
Ga (0.500, 0.500, 0.500)
Cl (0.895, 0.895, 0.895)
Cl (0.105, 0.105, 0.105)

For the volume, the calculation gives 35.9 Å³/atom. For the total magnetic moment, the calculation gives 0.000 μB per formula unit. The space group is No. 166.



Most stable = P)



P) Computed, not measured: crystalline TlGaCl2 at its relaxed geometry at the PBE-GGA level of DFT.

Cell: 3.768 3.768 7.570 Å, 90.00 90.00 90.00°
Atoms (fractional coordinates):
Tl (0.500, 0.500, 0.500)
Ga (0.500, 0.500, 0.000)
Cl (0.000, 0.000, 0.763)
Cl (0.000, 0.000, 0.237)

For the volume, the calculation gives 26.9 Å³/atom. For the total magnetic moment, the calculation gives 0.000 μB per formula unit. The space group is No. 123.



Q) Computed, not measured: crystalline TlGaCl2 at its relaxed geometry at the PBE-GGA level of DFT.

Cell: 5.349 5.349 5.349 Å, 60.00 60.00 60.00°
Atoms (fractional coordinates):
Tl (0.500, 0.500, 0.500)
Ga (0.000, 0.000, 0.000)
Cl (0.250, 0.250, 0.250)
Cl (0.750, 0.750, 0.750)

For the volume, the calculation gives 27.1 Å³/atom. For the total magnetic moment, the calculation gives 0.000 μB per formula unit. The space group is No. 225.



Most stable = P)



P) Computed, not measured: crystalline TlGaCl2 at its relaxed geometry at the PBE-GGA level of DFT.

Cell: 4.339 4.339 8.007 Å, 74.28 74.28 60.00°
Atoms (fractional coordinates):
Tl (0.499, 0.499, 0.502)
Ga (0.667, 0.667, 0.999)
Cl (0.077, 0.077, 0.768)
Cl (0.257, 0.257, 0.230)

For the volume, the calculation gives 31.0 Å³/atom. For the total magnetic moment, the calculation gives 0.000 μB per formula unit. The space group is No. 160.



Q) Computed, not measured: crystalline TlGaCl2 at its relaxed geometry at the PBE-GGA level of DFT.

Cell: 6.882 6.882 8.596 Å, 66.40 66.40 90.00°
Atoms (fractional coordinates):
Tl (0.000, 0.000, 0.000)
Tl (0.750, 0.250, 0.500)
Ga (0.500, 0.500, 0.000)
Ga (0.250, 0.750, 0.500)
Cl (0.598, 0.125, 0.250)
Cl (0.152, 0.625, 0.250)
Cl (0.375, 0.402, 0.750)
Cl (0.875, 0.848, 0.750)

For the volume, the calculation gives 41.9 Å³/atom. For the total magnetic moment, the calculation gives 0.000 μB per formula unit. The space group is No. 122.



Most stable = P)